4
Lattice="0.0000 3.5062 3.5062 3.5062 0.0000 3.5062 3.5062 3.5062 0.0000" Properties=species:S:1:pos:R:3 comment="PBE CrHgCl2, optimized geometry" polymorph_energy_mev_per_atom=786 volume_a3_per_cell=86 formation_energy_uncorrected_ev_per_fu=0.42 crystal_system=cubic pbc="T T T"
Cr 0.0000 0.0000 0.0000
Hg 1.7531 1.7531 1.7531
Cl 3.5062 3.5062 3.5062
Cl 5.2593 5.2593 5.2593